{"formula": "BaScZnSe3", "functional": "PBE", "state": "relaxed", "cell": [[2.049, -7.204, 0.000], [2.049, 7.204, 0.000], [0.000, 0.000, 10.398]], "species": ["Ba", "Ba", "Sc", "Sc", "Zn", "Zn", "Se", "Se", "Se", "Se", "Se", "Se"], "fractional_positions": [[0.247, 0.753, 0.750], [0.753, 0.247, 0.250], [0.000, 0.000, 0.000], [0.000, 0.000, 0.500], [0.468, 0.532, 0.250], [0.532, 0.468, 0.750], [0.069, 0.931, 0.250], [0.370, 0.630, 0.055], [0.370, 0.630, 0.445], [0.630, 0.370, 0.555], [0.630, 0.370, 0.945], [0.931, 0.069, 0.750]], "spacegroup": "Cmcm (63)", "energy_ev_per_atom": -4.695}